# InPtW2 GGA-PBE optimized geometry
# space group	P2/m (10)
data_InPtW2
_chemical_formula_sum 'In1 Pt1 W2'
_space_group_name_H-M_alt 'P 1'
_space_group_IT_number 1
_space_group_name_Hall 'P 1'
_cell_length_a 4.357
_cell_length_b 2.809
_cell_length_c 6.203
_cell_angle_alpha 62.95
_cell_angle_beta 90.00
_cell_angle_gamma 90.00
loop_
_atom_site_label
_atom_site_type_symbol
_atom_site_fract_x
_atom_site_fract_y
_atom_site_fract_z
_atom_site_occupancy
In1 In 0.500 0.250 0.250 1
Pt1 Pt 0.500 0.750 0.750 1
W1 W 0.000 0.016 0.989 1
W2 W 0.000 0.484 0.511 1


# InPtW2 GGA-PBE optimized geometry
# space group	Pmm2 (25)
data_InPtW2
_chemical_formula_sum 'In1 Pt1 W2'
_space_group_name_H-M_alt 'P 1'
_space_group_IT_number 1
_space_group_name_Hall 'P 1'
_cell_length_a 2.786
_cell_length_b 4.123
_cell_length_c 5.943
_cell_angle_alpha 90.00
_cell_angle_beta 90.00
_cell_angle_gamma 90.00
loop_
_atom_site_label
_atom_site_type_symbol
_atom_site_fract_x
_atom_site_fract_y
_atom_site_fract_z
_atom_site_occupancy
W1 W 0.000 0.000 0.008 1
W2 W 0.500 0.500 0.231 1
In1 In 0.000 0.000 0.506 1
Pt1 Pt 0.500 0.500 0.754 1


We obtain calculated formation energy values of 0.26; 0.21 eV/atom for the records listed above, in that order.